Record 1
# Ac2La8Pm3 PBE relaxed
data_Ac2La8Pm3
_chemical_formula_sum 'Ac6 La24 Pm9'
_cell_length_a 6.7608
_cell_length_b 6.7608
_cell_length_c 38.5617
_cell_angle_alpha 90.00
_cell_angle_beta 90.00
_cell_angle_gamma 120.00
_symmetry_space_group_name_H-M 'R -3 m'
_symmetry_Int_Tables_number 166
_symmetry_space_group_name_Hall '-R 3 2"'
loop_
_atom_site_label
_atom_site_type_symbol
_atom_site_fract_x
_atom_site_fract_y
_atom_site_fract_z
Ac1 Ac 0.0000 0.0000 0.1403
La1 La 0.0000 0.0000 0.2260
La2 La 0.0070 0.5035 0.7194
Pm1 Pm 0.0000 0.0000 0.3126
Pm2 Pm 0.0000 0.0000 0.5000
# ΔH_f (0 K)   235 meV per atom
# Volume   39.14 Å³ per atom
# Crystal system   trigonal


Record 2
# TaCoRe2 PBE relaxed
data_TaCoRe2
_chemical_formula_sum 'Ta3 Co3 Re6'
_cell_length_a 2.7801
_cell_length_b 2.7801
_cell_length_c 26.7674
_cell_angle_alpha 90.00
_cell_angle_beta 90.00
_cell_angle_gamma 120.00
_symmetry_space_group_name_H-M 'R 3 m'
_symmetry_Int_Tables_number 160
_symmetry_space_group_name_Hall 'R 3 -2"'
loop_
_atom_site_label
_atom_site_type_symbol
_atom_site_fract_x
_atom_site_fract_y
_atom_site_fract_z
Ta1 Ta 0.0000 0.0000 0.0000
Co1 Co 0.0000 0.0000 0.2521
Re1 Re 0.0000 0.0000 0.5069
Re2 Re 0.0000 0.0000 0.7592
# ΔH_f (0 K)   178 meV per atom
# Volume   14.93 Å³ per atom
# Crystal system   trigonal


Record 3
# Dy5Y5Ho PBE relaxed
data_Dy5Y5Ho
_chemical_formula_sum 'Dy5 Y5 Ho1'
_cell_length_a 6.8376
_cell_length_b 6.8562
_cell_length_c 8.5995
_cell_angle_alpha 74.77
_cell_angle_beta 75.37
_cell_angle_gamma 70.06
_symmetry_space_group_name_H-M 'P -1'
_symmetry_Int_Tables_number 2
loop_
_symmetry_equiv_pos_as_xyz
'x,y,z'
'-x,-y,-z'
loop_
_atom_site_label
_atom_site_type_symbol
_atom_site_fract_x
_atom_site_fract_y
_atom_site_fract_z
Dy1 Dy 0.0000 0.0000 0.0000
Dy2 Dy 0.2729 0.3478 0.7270
Dy3 Dy 0.3546 0.8534 0.6363
Y1 Y 0.1479 0.2249 0.2735
Y2 Y 0.1882 0.6811 0.3649
Y3 Y 0.5000 0.5000 0.0000
Ho1 Ho 0.5000 0.0000 0.0000
# ΔH_f (0 K)   146 meV per atom
# Volume   32.70 Å³ per atom
# Crystal system   triclinic


- What is the formula in the second record?
  TaCoRe2